# Pr3Y4Mg | Alexandria | PBE | optimized geometry
# **Energy of formation**: 0.012 eV per atom
# **E above lowest polymorph**: 0 meV per atom
data_Pr3Y4Mg
_chemical_formula_sum 'Pr6 Y8 Mg2'
_symmetry_space_group_name_H-M 'P m n 21'
_symmetry_Int_Tables_number 31
_cell_length_a 11.512
_cell_length_b 7.199
_cell_length_c 6.334
_cell_angle_alpha 90.00
_cell_angle_beta 90.00
_cell_angle_gamma 90.00
loop_
_symmetry_equiv_pos_as_xyz
'x,y,z'
'-x+1/2,-y,z+1/2'
'-x,y,z'
'x+1/2,-y,z+1/2'
loop_
_atom_site_label
_atom_site_type_symbol
_atom_site_fract_x
_atom_site_fract_y
_atom_site_fract_z
Pr1 Pr 0.000 0.129 0.000
Pr2 Pr 0.241 0.133 0.651
Y1 Y 0.000 0.627 0.995
Y2 Y 0.000 0.875 0.474
Y3 Y 0.243 0.622 0.662
Mg1 Mg 0.000 0.389 0.485